A geometry-optimized BeInWF2 structure, computed with PBE with a Hubbard U.

Unit cell a=4.1420 b=6.0956 c=4.1420 alpha=90.00 beta=90.00 gamma=90.00
Last column: magnetic moment on the atom in μB.
Atoms (fractional coordinates):
1 Be 0.5000 0.5000 0.5000  -0.01
2 F 0.0000 0.0000 0.5000  0.03
3 F 0.5000 0.0000 0.0000  0.09
4 W 0.0000 0.0000 0.0000  2.81
5 In 0.0000 0.5000 0.0000  -0.02

Results
- Spin magnetization: 3.065 μB/f.u.
- SG: No. 123
- Raw total energy: -4.1038 eV/atom